This record from Alexandria describes a geometry-optimized Pm7Al2Cd2 structure. The functional is PBE.

a b c (Å): 6.8454 8.0639 6.8454
angles (deg): 90.00 112.23 90.00
Closest atoms and distances in Å follow each position.
Fractional positions:
1 Pm 0.0000 0.2828 0.5000  2 Al 3.01
2 Pm 0.5000 0.7172 0.0000  2 Al 3.01
3 Pm 0.0000 0.7172 0.5000  2 Al 3.01
4 Pm 0.5000 0.2828 0.0000  2 Al 3.01
5 Pm 0.0000 0.0000 0.0000  2 Al 3.29
6 Pm 0.5000 0.7543 0.5000  2 Al 3.11, 2 Cd 3.19, 4 Pm 3.44
7 Pm 0.5000 0.2457 0.5000  2 Al 3.11, 2 Cd 3.19, 4 Pm 3.44
8 Al 0.7104 0.0000 0.2896  7 Pm 3.01-3.29
9 Al 0.2896 0.0000 0.7104  7 Pm 3.01-3.29
10 Cd 0.8208 0.5000 0.8208  1 Cd 2.74
11 Cd 0.1792 0.5000 0.1792  1 Cd 2.74

SG = No. 65
V = 31.799 A^3/atom
energy of formation from the pure elements = -0.009 eV/atom
spin magnetization = 0.00 μB per formula unit
electronic total energy = -3.88 eV per atom